# 1
Ta5Sn (GGA-PBE, relaxed); ρ = 15.14 g/cm³; DFT total energy = -10.560 eV/atom; total moment = 0.000 Bohr magnetons per cell; energy of formation from the pure elements = -0.1 eV/f.u.; N(E_F) = 0.825 states/eV/atom; energy above the lowest structure with this stoichiometry = 0.00 eV per formula unit
1.0
2.3158 -6.9028 0.0000
2.3158 6.9028 0.0000
0.0000 0.0000 3.5109
Ta Sn
5 1
direct
0.0000 0.0000 0.0000
0.1624 0.8376 0.5000
0.3258 0.6742 0.0000
0.6742 0.3258 0.0000
0.8376 0.1624 0.5000
0.5000 0.5000 0.5000

***

# 2
Pr8InGe5 (GGA-PBE, relaxed); ρ = 6.58 g/cm³; DFT total energy = -5.284 eV/atom; total moment = 0.000 Bohr magnetons per cell; energy of formation from the pure elements = -9.9 eV/f.u.; N(E_F) = 0.659 states/eV/atom
1.0
-4.6645 4.6645 4.6531
4.6645 -4.6645 4.6531
4.6645 4.6645 -4.6531
Pr In Ge
8 1 5
direct
0.1335 0.7520 0.7573
0.1369 0.2436 0.7611
0.2480 0.0053 0.3815
0.4825 0.3758 0.2389
0.6242 0.8631 0.1067
0.6238 0.8665 0.6185
0.7564 0.5175 0.8933
0.9947 0.3762 0.2427
0.7500 0.2500 0.5000
0.0000 0.0000 0.0000
0.2511 0.6301 0.1247
0.3699 0.4946 0.6210
0.5054 0.1263 0.8753
0.8737 0.7489 0.3790

***

# 3
Sm2As3Rh5 (GGA-PBE, relaxed); ρ = 9.82 g/cm³; DFT total energy = -6.783 eV/atom; total moment = 0.000 Bohr magnetons per cell; energy of formation from the pure elements = -7.7 eV/f.u.; N(E_F) = 0.684 states/eV/atom
1.0
2.0966 -12.4716 0.0000
2.0966 12.4716 0.0000
0.0000 0.0000 6.7278
Sm As Rh
4 6 10
direct
0.0184 0.9816 0.5000
0.3230 0.6770 0.4545
0.6770 0.3230 0.9545
0.9816 0.0184 0.0000
0.1111 0.8889 0.7458
0.2783 0.7217 0.8990
0.4501 0.5499 0.7120
0.5499 0.4501 0.2120
0.7217 0.2783 0.3990
0.8889 0.1111 0.2458
0.0992 0.9008 0.1315
0.2014 0.7986 0.6116
0.2250 0.7750 0.2059
0.3768 0.6232 0.9693
0.4413 0.5587 0.3399
0.5587 0.4413 0.8399
0.6232 0.3768 0.4693
0.7750 0.2250 0.7059
0.7986 0.2014 0.1116
0.9008 0.0992 0.6315